Compound: Ce6Co2Bi
Source: Alexandria
Functional: GGA-PBE
Structure: optimized geometry

It has space group C2/c (No. 15), with a = 11.522 Å, b = 11.392 Å, c = 8.184 Å, α = 90.00°, β = 124.33° and γ = 90.00°. The asymmetric unit holds Ce at (0.132, 0.249, 0.014), Ce at (0.136, 0.392, 0.512), Ce at (0.182, 0.082, 0.735), Co at (0.129, 0.458, 0.820) and Bi at (0.000, 0.142, 0.250).

As for the formation energy: -1.61 eV/f.u. The calculation puts the excess energy over the best structure of this formula in the dataset at 97 meV/atom.